1.
Compound: PaBRh5
Source: Alexandria
Functional: PBE
Structure: optimized geometry

Cell: 3.952 3.952 6.663 Å, 90.00 90.00 90.00°
Fractional coordinates of all 7 atoms:
Rh 0.500 0.500 0.500
Rh 0.000 0.500 0.193
B 0.500 0.500 0.000
Rh 0.000 0.500 0.807
Rh 0.500 0.000 0.807
Pa 0.000 0.000 0.500
Rh 0.500 0.000 0.193

Summary:
volume: 14.9 Å³/atom
mass density: 12.1 g cm⁻³

2.
Compound: PaBRh5
Source: Alexandria
Functional: PBE
Structure: optimized geometry

Cell: 5.387 5.387 9.065 Å, 67.44 67.44 89.07°
Fractional coordinates of all 14 atoms:
Rh 0.270 0.619 0.515
Pa 0.780 0.220 0.250
Rh 0.730 0.381 0.485
B 0.000 0.000 0.000
Pa 0.220 0.780 0.750
Rh 0.741 0.671 0.687
Rh 0.381 0.730 0.985
B 0.000 0.000 0.500
Rh 0.118 0.882 0.250
Rh 0.619 0.270 0.015
Rh 0.882 0.118 0.750
Rh 0.259 0.329 0.313
Rh 0.329 0.259 0.813
Rh 0.671 0.741 0.187

Summary:
volume: 15.8 Å³/atom
mass density: 11.3 g cm⁻³

Most stable to least stable, the ends of the list are 1 and 2.

1.
Compound: PaB2Ru
Source: Alexandria
Functional: PBE
Structure: optimized geometry

Cell: 4.028 3.626 4.864 Å, 73.09 65.54 56.25°
Fractional coordinates of all 4 atoms:
B 0.674 0.272 0.380
Ru 0.000 0.500 0.500
B 0.326 0.728 0.620
Pa 0.500 0.000 0.000

Summary:
volume: 13.4 Å³/atom
mass density: 11.0 g cm⁻³

2.
Compound: PaB2Ru
Source: Alexandria
Functional: PBE
Structure: optimized geometry

Cell: 3.758 3.758 4.892 Å, 67.42 67.42 60.00°
Fractional coordinates of all 4 atoms:
Pa 0.500 0.500 0.500
B 0.709 0.709 0.872
Ru 0.000 0.000 0.000
B 0.291 0.291 0.128

Summary:
volume: 13.4 Å³/atom
mass density: 11.0 g cm⁻³

Most stable to least stable, the ends of the list are 1 and 2.